Density functional theory data (PBE with a Hubbard U) for a relaxed structure of LaCoP2O8.

a = 4.770 Å, b = 4.770 Å, c = 7.481 Å
α = 71.41°, β = 71.41°, γ = 60.00°
Each line ends with the local moment (μB).
Fractional positions:
La 0.500 0.500 0.500  0.01
Co 0.000 0.000 0.000  3.05
P 0.254 0.254 0.237  0.00
P 0.746 0.746 0.763  0.00
O 0.180 0.180 0.461  0.03
O 0.589 0.269 0.175  0.13
O 0.820 0.820 0.539  0.03
O 0.966 0.589 0.175  0.13
O 0.034 0.411 0.825  0.13
O 0.269 0.966 0.175  0.13
O 0.731 0.034 0.825  0.13
O 0.411 0.731 0.825  0.13

E_tot	-0.267	Ha/atom
volume	137.1	Å³/cell
calculated density	4.70	g cm⁻³
magnetization	0.338	μB per atom